1.
# K3Tl2Te3

Crystalline K3Tl2Te3 at its relaxed geometry (PBE, Alexandria via LeMat-Bulk).

a b c (Å): 4.921 8.113 17.084
angles (deg): 90.00 90.00 107.65
Atoms (fractional coordinates):
K 0.938 0.875 0.386
K 0.062 0.125 0.886
K 0.938 0.875 0.114
K 0.062 0.125 0.614
K 0.679 0.358 0.250
K 0.321 0.642 0.750
Tl 0.764 0.527 0.918
Tl 0.236 0.473 0.418
Tl 0.764 0.527 0.582
Tl 0.236 0.473 0.082
Te 0.601 0.202 0.453
Te 0.399 0.798 0.953
Te 0.601 0.202 0.047
Te 0.399 0.798 0.547
Te 0.344 0.689 0.250
Te 0.656 0.311 0.750

Output
Formation energy from raw total energies   -15.5 kcal/mol of atoms
Symmetry   No. 63

2.
# ZnHgAs2

Crystalline ZnHgAs2 at its relaxed geometry (PBE, Alexandria via LeMat-Bulk).

a b c (Å): 9.526 9.526 9.526
angles (deg): 19.05 19.05 19.05
Atoms (fractional coordinates):
As 0.011 0.011 0.011
As 0.248 0.248 0.248
Hg 0.494 0.494 0.494
Zn 0.747 0.747 0.747

Output
Energy of formation   0.345 eV/atom
Energy relative to the lowest polymorph listed for this composition   25.7 kJ/mol of atoms
Symmetry   No. 160

3.
# Mg2Al3Cu2

Crystalline Mg2Al3Cu2 at its relaxed geometry (PBE, Alexandria via LeMat-Bulk).

a b c (Å): 4.051 5.143 6.751
angles (deg): 113.64 90.00 113.19
Atoms (fractional coordinates):
Mg 0.850 0.701 0.209
Mg 0.150 0.299 0.791
Al 0.500 0.000 0.000
Al 0.627 0.255 0.444
Al 0.373 0.745 0.556
Cu 0.867 0.734 0.798
Cu 0.133 0.266 0.202

Output
Energy of formation   -0.170 eV/atom
Symmetry   No. 12